Ni2IrO5: relaxed, PBE+U.

Output
Crystal system: orthorhombic
Space-group type: Pnma, No. 62
Size of the total moment: 3.575 μB/f.u.
E_tot: -174.32 eV/cell
N(E_F): 0.538 states/eV/atom

The structure in POSCAR format:
```
Ni2IrO5
1.0
9.085 0.000 0.000
0.000 6.247 0.000
0.000 0.000 5.890
Ni Ir O
8 4 20
Direct
0.167 0.014 0.025 Ni
0.167 0.486 0.025 Ni
0.333 0.514 0.525 Ni
0.333 0.986 0.525 Ni
0.667 0.014 0.475 Ni
0.667 0.486 0.475 Ni
0.833 0.514 0.975 Ni
0.833 0.986 0.975 Ni
0.012 0.250 0.554 Ir
0.488 0.750 0.054 Ir
0.512 0.250 0.946 Ir
0.988 0.750 0.446 Ir
0.031 0.250 0.905 O
0.065 0.033 0.329 O
0.065 0.467 0.329 O
0.188 0.750 0.586 O
0.229 0.250 0.606 O
0.271 0.750 0.106 O
0.312 0.250 0.086 O
0.435 0.533 0.829 O
0.435 0.967 0.829 O
0.469 0.750 0.405 O
0.531 0.250 0.595 O
0.565 0.033 0.171 O
0.565 0.467 0.171 O
0.688 0.750 0.914 O
0.729 0.250 0.894 O
0.771 0.750 0.394 O
0.812 0.250 0.414 O
0.935 0.533 0.671 O
0.935 0.967 0.671 O
0.969 0.750 0.095 O
```